A plane-wave DFT calculation with PBE was carried out for a relaxed YBr3 crystal.

Output
Its total DFT energy (no corrections) is -17.153 eV/f.u. Its energy relative to the elements, uncorrected is -1417.7 meV/atom. The density of states at the Fermi level comes out at 0.0 states/eV/cell.

a = 4.6482 Å, b = 4.6482 Å, c = 7.0036 Å
α = 90.00°, β = 90.00°, γ = 90.00°
Atoms (fractional coordinates):
Y1 0.0000 0.0000 0.0000
Br1 0.0000 0.5000 0.7829
Br2 0.5000 0.0000 0.7829
Br3 0.5000 0.5000 0.2111